No. 1
SmUTe2 after structural relaxation. Source: Alexandria, functional PBE-GGA.

abc: 7.6029 7.6029 7.6029
angles: 90.00 90.00 90.00
Last column: nearest neighbours and their distance in Å.
Space group Fm-3m (No. 225)
Asymmetric unit:
Sm: 0.0000 0.0000 0.0000 (multiplicity 4)  8 Te 3.29
U: 0.0000 0.0000 0.5000 (multiplicity 4)  8 Te 3.29
Te: 0.2500 0.2500 0.2500 (multiplicity 8)  4 U 3.29, 4 Sm 3.29

Computed properties:
raw formation energy: -0.7649 eV per atom
crystal system: cubic
polymorph energy (0 for the lowest one): 62 meV/atom
total magnetic moment: 0.958 μB/atom

No. 2
FeCo7Ni2 after structural relaxation. Source: Alexandria, functional PBE-GGA.

abc: 4.3219 4.3226 6.6002
angles: 109.02 102.41 99.87
Last column: nearest neighbours and their distance in Å.
Space group P-1 (No. 2)
Asymmetric unit:
Fe: 0.0000 0.0000 0.0000 (multiplicity 1)  8 Co 2.49-2.53, 4 Ni 2.49-2.50
Co: 0.0988 0.2025 0.6986 (multiplicity 2)  9 Co 2.46-2.51, 2 Ni 2.48-2.51, 1 Fe 2.51
Co: 0.2021 0.4041 0.4048 (multiplicity 2)  8 Co 2.46-2.51, 3 Ni 2.47-2.51, 1 Fe 2.53
Co: 0.3037 0.5988 0.1016 (multiplicity 2)  7 Co 2.48-2.53, 3 Ni 2.49-2.50, 2 Fe 2.49-2.52
Co: 0.5000 0.0000 0.5000 (multiplicity 1)  10 Co 2.48-2.50, 2 Ni 2.49
Ni: 0.3989 0.8004 0.7993 (multiplicity 2)  9 Co 2.47-2.51, 2 Fe 2.49-2.50, 1 Ni 2.50

Computed properties:
crystal system: triclinic
total magnetic moment: 1.531 μB/atom
formation energy: 0.002 eV per atom

No. 3
Th4As after structural relaxation. Source: Alexandria, functional PBE-GGA.

abc: 5.6052 5.6052 5.6052
angles: 90.00 90.00 90.00
Last column: nearest neighbours and their distance in Å.
Space group Pm-3m (No. 221)
Asymmetric unit:
Th: 0.0000 0.0000 0.0000 (multiplicity 1)  12 Th 3.96
Th: 0.0000 0.5000 0.5000 (multiplicity 3)  2 As 2.80
As: 0.5000 0.5000 0.5000 (multiplicity 1)  6 Th 2.80

Computed properties:
crystal system: cubic
total magnetic moment: 0.000 μB/atom
formation energy: -0.097 eV per atom